Entry 1:
{"formula": "ErLuTlCd", "functional": "GGA-PBE", "state": "relaxed", "lattice": [[0.0000, 3.7190, 3.7190], [3.7190, 0.0000, 3.7190], [3.7190, 3.7190, 0.0000]], "species": ["Er", "Lu", "Tl", "Cd"], "frac_coords": [[0.0000, 0.0000, 0.0000], [0.5000, 0.5000, 0.5000], [0.2500, 0.2500, 0.2500], [0.7500, 0.7500, 0.7500]], "m_tot_mub_per_cell": 0.00, "total_energy_ev_per_cell": -13.560, "spacegroup": "F-43m", "e_form_ev_per_atom": -0.299}

=====

Entry 2:
{"formula": "ErLuZrCd", "functional": "GGA-PBE", "state": "relaxed", "lattice": [[0.0000, 3.7161, 3.7161], [3.7161, 0.0000, 3.7161], [3.7161, 3.7161, 0.0000]], "species": ["Er", "Lu", "Zr", "Cd"], "frac_coords": [[0.0000, 0.0000, 0.0000], [0.5000, 0.5000, 0.5000], [0.7500, 0.7500, 0.7500], [0.2500, 0.2500, 0.2500]], "m_tot_mub_per_cell": 2.03, "total_energy_ev_per_cell": -18.346, "spacegroup": "F-43m", "e_form_ev_per_atom": 0.050}

=====

Entry 3:
{"formula": "Er5MgCd2", "functional": "GGA-PBE", "state": "relaxed", "lattice": [[2.4123, -5.5558, 0.0000], [2.4123, 5.5558, 0.0000], [0.0000, 0.0000, 16.2735]], "species": ["Er", "Er", "Er", "Er", "Er", "Er", "Er", "Er", "Er", "Er", "Mg", "Mg", "Cd", "Cd", "Cd", "Cd"], "frac_coords": [[0.0071, 0.9929, 0.7500], [0.1504, 0.8496, 0.5343], [0.1504, 0.8496, 0.9657], [0.4582, 0.5418, 0.5987], [0.4582, 0.5418, 0.9013], [0.5418, 0.4582, 0.0987], [0.5418, 0.4582, 0.4013], [0.8496, 0.1504, 0.0343], [0.8496, 0.1504, 0.4657], [0.9929, 0.0071, 0.2500], [0.2880, 0.7120, 0.7500], [0.7120, 0.2880, 0.2500], [0.2642, 0.7358, 0.1520], [0.2642, 0.7358, 0.3480], [0.7358, 0.2642, 0.6520], [0.7358, 0.2642, 0.8480]], "m_tot_mub_per_cell": 0.00, "total_energy_ev_per_cell": -53.614, "spacegroup": "Cmcm", "e_form_ev_per_atom": -0.071}

=====

Entry 4:
{"formula": "Er3Mg3Cd2", "functional": "GGA-PBE", "state": "relaxed", "lattice": [[5.1082, 0.0000, 0.0000], [0.0000, 5.1104, 0.0000], [0.0000, 0.0000, 7.6420]], "species": ["Er", "Er", "Er", "Mg", "Mg", "Mg", "Cd", "Cd"], "frac_coords": [[0.0000, 0.0000, 0.0000], [0.0000, 0.0000, 0.5000], [0.5000, 0.5000, 0.0000], [0.0000, 0.5000, 0.2630], [0.0000, 0.5000, 0.7370], [0.5000, 0.5000, 0.5000], [0.5000, 0.0000, 0.2583], [0.5000, 0.0000, 0.7417]], "m_tot_mub_per_cell": 0.00, "total_energy_ev_per_cell": -21.719, "spacegroup": "Pmmm", "polymorph_energy_ev_per_atom": 0.000, "e_form_ev_per_atom": -0.177}

=====

Entry 5:
{"formula": "ErMgCd17", "functional": "GGA-PBE", "state": "relaxed", "lattice": [[4.9639, 2.8659, 5.2235], [-4.9639, 2.8659, 5.2235], [0.0000, -5.7318, 5.2235]], "species": ["Er", "Mg", "Cd", "Cd", "Cd", "Cd", "Cd", "Cd", "Cd", "Cd", "Cd", "Cd", "Cd", "Cd", "Cd", "Cd", "Cd", "Cd", "Cd"], "frac_coords": [[0.0000, 0.0000, 0.0000], [0.7082, 0.7082, 0.7082], [0.0133, 0.3250, 0.6302], [0.0133, 0.6302, 0.3250], [0.1129, 0.7101, 0.7101], [0.2151, 0.2151, 0.2151], [0.3250, 0.0133, 0.6302], [0.3250, 0.6302, 0.0133], [0.3529, 0.3529, 0.7850], [0.3529, 0.7850, 0.3529], [0.3997, 0.3997, 0.3997], [0.4371, 0.9786, 0.9786], [0.6302, 0.0133, 0.3250], [0.6302, 0.3250, 0.0133], [0.7101, 0.1129, 0.7101], [0.7101, 0.7101, 0.1129], [0.7850, 0.3529, 0.3529], [0.9786, 0.4371, 0.9786], [0.9786, 0.9786, 0.4371]], "m_tot_mub_per_cell": 0.00, "total_energy_ev_per_cell": -22.119, "spacegroup": "R3m", "e_form_ev_per_atom": -0.021}

=====

Entry 6:
{"formula": "ErMg5Cd4", "functional": "GGA-PBE", "state": "relaxed", "lattice": [[7.2328, -2.4708, 0.0000], [7.2328, 2.4708, 0.0000], [-1.6237, 0.0000, 6.3252]], "species": ["Er", "Mg", "Mg", "Mg", "Mg", "Mg", "Cd", "Cd", "Cd", "Cd"], "frac_coords": [[0.0000, 0.0000, 0.0000], [0.0000, 0.0000, 0.5000], [0.2107, 0.2107, 0.8387], [0.3974, 0.3974, 0.6636], [0.6026, 0.6026, 0.3364], [0.7893, 0.7893, 0.1613], [0.2079, 0.2079, 0.3377], [0.4018, 0.4018, 0.1783], [0.5982, 0.5982, 0.8217], [0.7921, 0.7921, 0.6623]], "m_tot_mub_per_cell": 0.00, "total_energy_ev_per_cell": -17.700, "spacegroup": "C2/m", "e_form_ev_per_atom": -0.150}

=====

Entry 7:
{"formula": "Er8MgCd2", "functional": "GGA-PBE", "state": "relaxed", "lattice": [[4.3835, -7.3704, 0.0000], [4.3835, 7.3704, 0.0000], [-2.1333, 0.0000, 5.0159]], "species": ["Er", "Er", "Er", "Er", "Er", "Er", "Er", "Er", "Mg", "Cd", "Cd"], "frac_coords": [[0.0953, 0.3244, 0.6148], [0.2193, 0.7807, 0.0000], [0.3244, 0.0953, 0.6148], [0.3982, 0.3982, 0.1975], [0.6018, 0.6018, 0.8025], [0.6756, 0.9047, 0.3852], [0.7807, 0.2193, 0.0000], [0.9047, 0.6756, 0.3852], [0.0000, 0.0000, 0.0000], [0.3059, 0.6941, 0.5000], [0.6941, 0.3059, 0.5000]], "m_tot_mub_per_cell": 0.00, "total_energy_ev_per_cell": -39.518, "spacegroup": "C2/m", "e_form_ev_per_atom": 0.037}

=====

Entry 8:
{"formula": "Er4Mg5Cd2", "functional": "GGA-PBE", "state": "relaxed", "lattice": [[7.9985, 0.0000, 0.0000], [0.0000, 3.4124, 0.0000], [-0.7112, 0.0000, 10.4847]], "species": ["Er", "Er", "Er", "Er", "Mg", "Mg", "Mg", "Mg", "Mg", "Cd", "Cd"], "frac_coords": [[0.1575, 0.0000, 0.3865], [0.2795, 0.0000, 0.9469], [0.7205, 0.0000, 0.0531], [0.8425, 0.0000, 0.6135], [0.2001, 0.5000, 0.6672], [0.4298, 0.5000, 0.2084], [0.5000, 0.5000, 0.5000], [0.5702, 0.5000, 0.7916], [0.7999, 0.5000, 0.3328], [0.0562, 0.5000, 0.1375], [0.9438, 0.5000, 0.8625]], "m_tot_mub_per_cell": 0.00, "total_energy_ev_per_cell": -29.051, "spacegroup": "P2/m", "e_form_ev_per_atom": -0.091}

=====

Entry 9:
{"formula": "Er2MgCd4", "functional": "GGA-PBE", "state": "relaxed", "lattice": [[-2.5684, 2.5684, 7.7613], [2.5684, -2.5684, 7.7613], [2.5684, 2.5684, -7.7613]], "species": ["Er", "Er", "Mg", "Cd", "Cd", "Cd", "Cd"], "frac_coords": [[0.1172, 0.1172, 0.0000], [0.8828, 0.8828, 0.0000], [0.5000, 0.5000, 0.0000], [0.0000, 0.5000, 0.5000], [0.3154, 0.3154, 0.0000], [0.5000, 0.0000, 0.5000], [0.6846, 0.6846, 0.0000]], "m_tot_mub_per_cell": 0.00, "total_energy_ev_per_cell": -12.958, "spacegroup": "I4/mmm", "polymorph_energy_ev_per_atom": 0.303, "e_form_ev_per_atom": 0.203}

=====

Entry 10:
{"formula": "Er5MgCd6", "functional": "GGA-PBE", "state": "relaxed", "lattice": [[-2.5816, 3.7061, 7.7890], [2.5816, -3.7061, 7.7890], [2.5816, 3.7061, -7.7890]], "species": ["Er", "Er", "Er", "Er", "Er", "Mg", "Cd", "Cd", "Cd", "Cd", "Cd", "Cd"], "frac_coords": [[0.0000, 0.0000, 0.0000], [0.1672, 0.6672, 0.5000], [0.3331, 0.3331, 0.0000], [0.6669, 0.6669, 0.0000], [0.8328, 0.3328, 0.5000], [0.5000, 0.0000, 0.5000], [0.0951, 0.8374, 0.2577], [0.2619, 0.5000, 0.7619], [0.4203, 0.1626, 0.2577], [0.5797, 0.8374, 0.7423], [0.7381, 0.5000, 0.2381], [0.9049, 0.1626, 0.7423]], "m_tot_mub_per_cell": 0.00, "total_energy_ev_per_cell": -33.486, "spacegroup": "Immm", "e_form_ev_per_atom": -0.299}

=====

Entry 11:
{"formula": "Er3MgCd4", "functional": "GGA-PBE", "state": "relaxed", "lattice": [[5.1060, 0.0000, 0.0000], [0.0000, 5.1060, 0.0000], [0.0000, 0.0000, 7.4974]], "species": ["Er", "Er", "Er", "Mg", "Cd", "Cd", "Cd", "Cd"], "frac_coords": [[0.0000, 0.0000, 0.0000], [0.0000, 0.0000, 0.5000], [0.5000, 0.5000, 0.0000], [0.5000, 0.5000, 0.5000], [0.0000, 0.5000, 0.2609], [0.0000, 0.5000, 0.7391], [0.5000, 0.0000, 0.2609], [0.5000, 0.0000, 0.7391]], "m_tot_mub_per_cell": 0.00, "total_energy_ev_per_cell": -21.316, "spacegroup": "P4/mmm", "polymorph_energy_ev_per_atom": 0.000, "e_form_ev_per_atom": -0.297}

=====

Entry 12:
{"formula": "Er2MgCd4", "functional": "GGA-PBE", "state": "relaxed", "lattice": [[2.5140, 1.4515, 8.2671], [-2.5140, 1.4515, 8.2671], [0.0000, -2.9029, 8.2671]], "species": ["Er", "Er", "Mg", "Cd", "Cd", "Cd", "Cd"], "frac_coords": [[0.2473, 0.2473, 0.2473], [0.7527, 0.7527, 0.7527], [0.5000, 0.5000, 0.5000], [0.1218, 0.1218, 0.1218], [0.3721, 0.3721, 0.3721], [0.6279, 0.6279, 0.6279], [0.8782, 0.8782, 0.8782]], "m_tot_mub_per_cell": 0.00, "total_energy_ev_per_cell": -15.080, "spacegroup": "R-3m", "polymorph_energy_ev_per_atom": 0.000, "e_form_ev_per_atom": -0.100}